# 1
Crystalline ScInGePd at its relaxed geometry, computed with PBE.

Unit cell a=4.7591 b=4.7591 c=4.7591 alpha=60.00 beta=60.00 gamma=60.00
Element x y z (fractional)
Sc 0.0000 0.0000 0.0000
In 0.5000 0.5000 0.5000
Ge 0.2500 0.2500 0.2500
Pd 0.7500 0.7500 0.7500

## Properties
As for the total energy: -5.199 eV/atom.

---

# 2
Crystalline SmInGe2Pd5 at its relaxed geometry, computed with PBE.

Unit cell a=4.5285 b=4.5285 c=8.1751 alpha=90.00 beta=90.00 gamma=90.00
Element x y z (fractional)
Sm 0.0000 0.0000 0.0000
In 0.0000 0.0000 0.5000
Ge 0.5000 0.5000 0.3508
Ge 0.5000 0.5000 0.6492
Pd 0.0000 0.5000 0.2344
Pd 0.0000 0.5000 0.7656
Pd 0.5000 0.0000 0.2344
Pd 0.5000 0.0000 0.7656
Pd 0.5000 0.5000 0.0000

## Properties
As for the total energy: -5.274 eV/atom.